Record 1
{
  "formula": "Ir3Ru2Rh",
  "functional": "PBE",
  "state": "relaxed",
  "lattice_angstrom": [[2.356, -4.082, 0.000], [2.356, 4.082, 0.000], [-1.572, 0.000, 8.896]],
  "species": ["Ir", "Ir", "Ir", "Ir", "Ir", "Ir", "Ru", "Ru", "Ru", "Ru", "Rh", "Rh"],
  "frac_coords": [[0.085, 0.915, 0.750], [0.162, 0.332, 0.000], [0.332, 0.162, 0.500], [0.668, 0.838, 0.500], [0.838, 0.668, 0.000], [0.915, 0.085, 0.250], [0.000, 0.500, 0.500], [0.250, 0.750, 0.250], [0.500, 0.000, 0.000], [0.750, 0.250, 0.750], [0.415, 0.585, 0.750], [0.585, 0.415, 0.250]],
  "e_form_kj_per_mol_fu": -12,
  "spacegroup": "C2/c",
  "energy_ev_per_fu": -52.61
}

Record 2
{
  "formula": "ThVS4",
  "functional": "PBE",
  "state": "relaxed",
  "lattice_angstrom": [[6.385, 0.000, 0.000], [0.000, 6.519, 0.000], [-1.000, 0.000, 6.229]],
  "species": ["Th", "Th", "V", "V", "S", "S", "S", "S", "S", "S", "S", "S"],
  "frac_coords": [[0.000, 0.000, 0.000], [0.000, 0.500, 0.500], [0.500, 0.000, 0.500], [0.500, 0.500, 0.000], [0.182, 0.150, 0.402], [0.182, 0.350, 0.902], [0.340, 0.708, 0.267], [0.340, 0.792, 0.767], [0.660, 0.208, 0.233], [0.660, 0.292, 0.733], [0.818, 0.650, 0.098], [0.818, 0.850, 0.598]],
  "formation_energy_uncorrected_ev_per_atom": -1.138,
  "spacegroup": "P2_1/c",
  "energy_ev_per_fu": -39.87
}